[1]
Lu2InAu after structural relaxation, computed with PBE.

Summary:
Fermi-level density of states = 0.566 states/eV/atom
Formation energy = -662 meV/atom
Raw total energy = -4.426 eV/atom
Symmetry = P4/mmm, No. 123

Cell: 3.5363 3.5363 7.5496 Å, 90.00 90.00 90.00°
Positions (direct):
Lu 0.0000 0.0000 0.7696
Lu 0.0000 0.0000 0.2304
Au 0.5000 0.5000 0.0000
In 0.5000 0.5000 0.5000

[2]
KSnTeN2 after structural relaxation, computed with PBE.

Summary:
Fermi-level density of states = 0.328 states/eV/atom
Energy relative to the elements, uncorrected = 91.4 kJ per mole of atoms
Raw total energy = -4.031 eV/atom
Distance to the lowest polymorph of the same formula = 0.00 kJ/mol of atoms
Symmetry = P4/mmm, No. 123

Cell: 4.5310 4.5310 5.8839 Å, 90.00 90.00 90.00°
Last column: magnetic moment on the atom in μB.
Positions (direct):
K 0.5000 0.5000 0.5000  0.01
Te 0.0000 0.0000 0.5000  0.24
Sn 0.0000 0.0000 0.0000  -0.09
N 0.0000 0.5000 0.0000  0.96
N 0.5000 0.0000 0.0000  0.96

raw total energy of number 2 (KSnTeN2)? -4.031 eV/atom